## K2AlRu (GGA-PBEsol)

Data for an optimized crystal structure of K2AlRu.

Summary:
formation enthalpy at 0 K	15.90	kcal/mol of atoms
ρ	2.964	g/cm³
total DFT energy (no corrections)	-27.54	eV per cell

abc: 4.101 5.722 9.848
angles: 90.00 90.00 90.00
Atoms (fractional coordinates):
K  0.000  0.000  0.000
K  0.000  0.500  0.198
K  0.500  0.000  0.698
K  0.500  0.500  0.500
Al  0.000  0.000  0.402
Al  0.500  0.500  0.902
Ru  0.000  0.500  0.791
Ru  0.500  0.000  0.291

=====

## K2AlRu (GGA-PBEsol)

Data for an optimized crystal structure of K2AlRu.

Summary:
formation enthalpy at 0 K	21.97	kcal/mol of atoms
ρ	3.982	g/cm³
total DFT energy (no corrections)	-50.88	eV per cell

abc: 3.836 3.836 23.382
angles: 90.00 90.00 90.00
Atoms (fractional coordinates):
K  0.248  0.250  0.125
K  0.250  0.748  0.375
K  0.250  0.752  0.875
K  0.252  0.250  0.625
K  0.748  0.750  0.625
K  0.750  0.248  0.875
K  0.750  0.252  0.375
K  0.752  0.750  0.125
Al  0.000  0.000  0.500
Al  0.000  0.500  0.750
Al  0.500  0.000  0.250
Al  0.500  0.500  0.000
Ru  0.000  0.000  0.000
Ru  0.000  0.500  0.250
Ru  0.500  0.000  0.750
Ru  0.500  0.500  0.500

=====

## KAl2Sb (GGA-PBEsol)

Data for an optimized crystal structure of KAl2Sb.

Summary:
ρ	3.497	g/cm³
ΔE_f (raw)	0.007	eV per atom
total DFT energy (no corrections)	-13.84	eV per cell

abc: 3.536 3.751 7.690
angles: 90.00 90.00 90.00
Atoms (fractional coordinates):
K  0.000  0.000  0.000
Al  0.000  0.000  0.520
Al  0.500  0.500  0.685
Sb  0.500  0.500  0.327